{
  "formula": "HoTm2Al3CoCu2",
  "functional": "PBE",
  "state": "relaxed",
  "energy_ev_per_atom": -4.831,
  "rho_g_cm3": 7.8,
  "space_group": "Amm2 (38)",
  "cell": [[4.034, 0.000, 0.000], [0.000, 5.944, 3.430], [0.000, -5.944, 3.430]],
  "species": ["Ho", "Tm", "Tm", "Al", "Al", "Al", "Co", "Cu", "Cu"],
  "frac_coords": [[0.000, 0.000, 0.000], [0.000, 0.181, 0.590], [0.000, 0.590, 0.181], [0.500, 0.360, 0.360], [0.500, 0.589, 0.820], [0.500, 0.820, 0.589], [0.000, 0.588, 0.588], [0.500, 0.258, 0.922], [0.500, 0.922, 0.258]]
}



{
  "formula": "YHo2Al3CoCu2",
  "functional": "PBE",
  "state": "relaxed",
  "energy_ev_per_atom": -5.054,
  "rho_g_cm3": 6.8,
  "space_group": "Amm2 (38)",
  "cell": [[4.042, 0.000, 0.000], [0.000, 6.013, 3.459], [0.000, -6.013, 3.459]],
  "species": ["Y", "Ho", "Ho", "Al", "Al", "Al", "Co", "Cu", "Cu"],
  "frac_coords": [[0.000, 0.000, 0.000], [0.000, 0.411, 0.820], [0.000, 0.820, 0.411], [0.500, 0.183, 0.411], [0.500, 0.411, 0.183], [0.500, 0.639, 0.639], [0.000, 0.415, 0.415], [0.500, 0.079, 0.742], [0.500, 0.742, 0.079]]
}



{
  "formula": "Y2HoAl3CoCu2",
  "functional": "PBE",
  "state": "relaxed",
  "energy_ev_per_atom": -5.260,
  "rho_g_cm3": 6.0,
  "space_group": "Amm2 (38)",
  "cell": [[3.955, 0.000, 0.000], [0.000, 6.080, 3.519], [0.000, -6.080, 3.519]],
  "species": ["Y", "Y", "Ho", "Al", "Al", "Al", "Co", "Cu", "Cu"],
  "frac_coords": [[0.000, 0.206, 0.794], [0.000, 0.794, 0.206], [0.000, 0.616, 0.616], [0.500, 0.206, 0.435], [0.500, 0.435, 0.206], [0.500, 0.976, 0.976], [0.000, 0.209, 0.209], [0.500, 0.540, 0.870], [0.500, 0.870, 0.540]]
}



{
  "formula": "AlCoCuIr",
  "functional": "PBE",
  "state": "relaxed",
  "relative_energy_mev_per_atom": 0,
  "energy_ev_per_atom": -6.118,
  "rho_g_cm3": 11.2,
  "space_group": "F-43m (216)",
  "cell": [[5.865, 0.000, 0.000], [0.000, 5.865, 0.000], [0.000, 0.000, 5.865]],
  "species": ["Al", "Al", "Al", "Al", "Co", "Co", "Co", "Co", "Cu", "Cu", "Cu", "Cu", "Ir", "Ir", "Ir", "Ir"],
  "frac_coords": [[0.000, 0.000, 0.000], [0.000, 0.500, 0.500], [0.500, 0.000, 0.500], [0.500, 0.500, 0.000], [0.250, 0.250, 0.250], [0.250, 0.750, 0.750], [0.750, 0.250, 0.750], [0.750, 0.750, 0.250], [0.000, 0.000, 0.500], [0.000, 0.500, 0.000], [0.500, 0.000, 0.000], [0.500, 0.500, 0.500], [0.250, 0.250, 0.750], [0.250, 0.750, 0.250], [0.750, 0.250, 0.250], [0.750, 0.750, 0.750]]
}



{
  "formula": "LiAl2CoCu4",
  "functional": "PBE",
  "state": "relaxed",
  "relative_energy_mev_per_atom": 2,
  "energy_ev_per_atom": -4.074,
  "rho_g_cm3": 6.5,
  "space_group": "I4_1/amd (141)",
  "cell": [[-2.886, 2.886, 5.767], [2.886, -2.886, 5.767], [2.886, 2.886, -5.767]],
  "species": ["Li", "Li", "Al", "Al", "Al", "Al", "Co", "Co", "Cu", "Cu", "Cu", "Cu", "Cu", "Cu", "Cu", "Cu"],
  "frac_coords": [[0.375, 0.625, 0.750], [0.625, 0.375, 0.250], [0.122, 0.372, 0.750], [0.372, 0.122, 0.250], [0.628, 0.878, 0.750], [0.878, 0.628, 0.250], [0.125, 0.875, 0.250], [0.875, 0.125, 0.750], [0.000, 0.254, 0.254], [0.000, 0.746, 0.746], [0.254, 0.000, 0.754], [0.254, 0.500, 0.254], [0.500, 0.254, 0.754], [0.500, 0.746, 0.246], [0.746, 0.000, 0.246], [0.746, 0.500, 0.746]]
}



{
  "formula": "LiAl2CoCu4",
  "functional": "PBE",
  "state": "relaxed",
  "relative_energy_mev_per_atom": 0,
  "energy_ev_per_atom": -4.075,
  "rho_g_cm3": 6.4,
  "space_group": "I4_1/amd (141)",
  "cell": [[-2.889, 2.889, 5.781], [2.889, -2.889, 5.781], [2.889, 2.889, -5.781]],
  "species": ["Li", "Li", "Al", "Al", "Al", "Al", "Co", "Co", "Cu", "Cu", "Cu", "Cu", "Cu", "Cu", "Cu", "Cu"],
  "frac_coords": [[0.375, 0.625, 0.750], [0.625, 0.375, 0.250], [0.122, 0.372, 0.750], [0.372, 0.122, 0.250], [0.628, 0.878, 0.750], [0.878, 0.628, 0.250], [0.125, 0.875, 0.250], [0.875, 0.125, 0.750], [0.000, 0.253, 0.253], [0.000, 0.747, 0.747], [0.253, 0.000, 0.753], [0.253, 0.500, 0.253], [0.500, 0.253, 0.753], [0.500, 0.747, 0.247], [0.747, 0.000, 0.247], [0.747, 0.500, 0.747]]
}



{
  "formula": "LiAl2CoCu4",
  "functional": "PBE",
  "state": "relaxed",
  "relative_energy_mev_per_atom": 0,
  "energy_ev_per_atom": -4.075,
  "rho_g_cm3": 6.4,
  "space_group": "P4/mmm (123)",
  "cell": [[4.039, 0.000, 0.000], [0.000, 4.039, 0.000], [0.000, 0.000, 5.919]],
  "species": ["Li", "Al", "Al", "Co", "Cu", "Cu", "Cu", "Cu"],
  "frac_coords": [[0.000, 0.000, 0.000], [0.000, 0.000, 0.500], [0.500, 0.500, 0.000], [0.500, 0.500, 0.500], [0.000, 0.500, 0.249], [0.000, 0.500, 0.751], [0.500, 0.000, 0.249], [0.500, 0.000, 0.751]]
}



{
  "formula": "MgAlCoCu",
  "functional": "PBE",
  "state": "relaxed",
  "relative_energy_mev_per_atom": 0,
  "energy_ev_per_atom": -4.205,
  "rho_g_cm3": 5.5,
  "space_group": "F-43m (216)",
  "cell": [[5.946, 0.000, 0.000], [0.000, 5.946, 0.000], [0.000, 0.000, 5.946]],
  "species": ["Mg", "Mg", "Mg", "Mg", "Al", "Al", "Al", "Al", "Co", "Co", "Co", "Co", "Cu", "Cu", "Cu", "Cu"],
  "frac_coords": [[0.000, 0.000, 0.000], [0.000, 0.500, 0.500], [0.500, 0.000, 0.500], [0.500, 0.500, 0.000], [0.000, 0.000, 0.500], [0.000, 0.500, 0.000], [0.500, 0.000, 0.000], [0.500, 0.500, 0.500], [0.250, 0.250, 0.750], [0.250, 0.750, 0.250], [0.750, 0.250, 0.250], [0.750, 0.750, 0.750], [0.250, 0.250, 0.250], [0.250, 0.750, 0.750], [0.750, 0.250, 0.750], [0.750, 0.750, 0.250]]
}



{
  "formula": "AlCoCuMo",
  "functional": "PBE",
  "state": "relaxed",
  "relative_energy_mev_per_atom": 0,
  "energy_ev_per_atom": -6.399,
  "rho_g_cm3": 7.9,
  "space_group": "F-43m (216)",
  "cell": [[5.920, 0.000, 0.000], [0.000, 5.920, 0.000], [0.000, 0.000, 5.920]],
  "species": ["Al", "Al", "Al", "Al", "Co", "Co", "Co", "Co", "Cu", "Cu", "Cu", "Cu", "Mo", "Mo", "Mo", "Mo"],
  "frac_coords": [[0.000, 0.000, 0.000], [0.000, 0.500, 0.500], [0.500, 0.000, 0.500], [0.500, 0.500, 0.000], [0.250, 0.250, 0.250], [0.250, 0.750, 0.750], [0.750, 0.250, 0.750], [0.750, 0.750, 0.250], [0.250, 0.250, 0.750], [0.250, 0.750, 0.250], [0.750, 0.250, 0.250], [0.750, 0.750, 0.750], [0.000, 0.000, 0.500], [0.000, 0.500, 0.000], [0.500, 0.000, 0.000], [0.500, 0.500, 0.500]]
}



{
  "formula": "AlCoCuNi",
  "functional": "PBE",
  "state": "relaxed",
  "relative_energy_mev_per_atom": 0,
  "energy_ev_per_atom": -5.300,
  "rho_g_cm3": 7.6,
  "space_group": "F-43m (216)",
  "cell": [[5.672, 0.000, 0.000], [0.000, 5.672, 0.000], [0.000, 0.000, 5.672]],
  "species": ["Al", "Al", "Al", "Al", "Co", "Co", "Co", "Co", "Cu", "Cu", "Cu", "Cu", "Ni", "Ni", "Ni", "Ni"],
  "frac_coords": [[0.000, 0.000, 0.000], [0.000, 0.500, 0.500], [0.500, 0.000, 0.500], [0.500, 0.500, 0.000], [0.250, 0.250, 0.750], [0.250, 0.750, 0.250], [0.750, 0.250, 0.250], [0.750, 0.750, 0.750], [0.000, 0.000, 0.500], [0.000, 0.500, 0.000], [0.500, 0.000, 0.000], [0.500, 0.500, 0.500], [0.250, 0.250, 0.250], [0.250, 0.750, 0.750], [0.750, 0.250, 0.750], [0.750, 0.750, 0.250]]
}



{
  "formula": "AlCoCuNi",
  "functional": "PBE",
  "state": "relaxed",
  "relative_energy_mev_per_atom": 83,
  "energy_ev_per_atom": -5.217,
  "rho_g_cm3": 7.5,
  "space_group": "F-43m (216)",
  "cell": [[5.692, 0.000, 0.000], [0.000, 5.692, 0.000], [0.000, 0.000, 5.692]],
  "species": ["Al", "Al", "Al", "Al", "Co", "Co", "Co", "Co", "Cu", "Cu", "Cu", "Cu", "Ni", "Ni", "Ni", "Ni"],
  "frac_coords": [[0.000, 0.000, 0.000], [0.000, 0.500, 0.500], [0.500, 0.000, 0.500], [0.500, 0.500, 0.000], [0.250, 0.250, 0.250], [0.250, 0.750, 0.750], [0.750, 0.250, 0.750], [0.750, 0.750, 0.250], [0.250, 0.250, 0.750], [0.250, 0.750, 0.250], [0.750, 0.250, 0.250], [0.750, 0.750, 0.750], [0.000, 0.000, 0.500], [0.000, 0.500, 0.000], [0.500, 0.000, 0.000], [0.500, 0.500, 0.500]]
}



{
  "formula": "AlCoCuOs",
  "functional": "PBE",
  "state": "relaxed",
  "relative_energy_mev_per_atom": 0,
  "energy_ev_per_atom": -6.477,
  "rho_g_cm3": 11.0,
  "space_group": "F-43m (216)",
  "cell": [[5.891, 0.000, 0.000], [0.000, 5.891, 0.000], [0.000, 0.000, 5.891]],
  "species": ["Al", "Al", "Al", "Al", "Co", "Co", "Co", "Co", "Cu", "Cu", "Cu", "Cu", "Os", "Os", "Os", "Os"],
  "frac_coords": [[0.000, 0.000, 0.000], [0.000, 0.500, 0.500], [0.500, 0.000, 0.500], [0.500, 0.500, 0.000], [0.000, 0.000, 0.500], [0.000, 0.500, 0.000], [0.500, 0.000, 0.000], [0.500, 0.500, 0.500], [0.250, 0.250, 0.250], [0.250, 0.750, 0.750], [0.750, 0.250, 0.750], [0.750, 0.750, 0.250], [0.250, 0.250, 0.750], [0.250, 0.750, 0.250], [0.750, 0.250, 0.250], [0.750, 0.750, 0.750]]
}